Entry one
This record from Alexandria via LeMat-Bulk describes ScCu6Pd12 after structural relaxation. The functional is PBE-GGA.

Cell lengths 11.9529, 11.9529, 6.7502 Å; angles 90.00, 90.00, 120.00 degrees
Space group R-3 (No. 148, hexagonal axes)
One atom of each set of equivalent atoms:
Sc  0.0000  0.0000  0.0000 [3 per cell]
Cu  0.0341  0.2799  0.3269 [18 per cell]
Pd  0.0129  0.1413  0.6638 [18 per cell]
Pd  0.0658  0.5603  0.6711 [18 per cell]

Summary:
- N(E_F) (states/eV/cell) = 49.076
- size of the total moment (Bohr magnetons per cell) = 0.00
- calculated density (Mg/m³) = 10.16


Entry two
This record from Alexandria via LeMat-Bulk describes ScCu6Pd12 after structural relaxation. The functional is PBE-GGA.

Cell lengths 10.6832, 10.6832, 8.9017 Å; angles 90.00, 90.00, 120.00 degrees
Space group R-3m (No. 166, hexagonal axes)
One atom of each set of equivalent atoms:
Sc  0.0000  0.0000  0.0000 [3 per cell]
Cu  0.0840  0.1680  0.7441 [18 per cell]
Pd  0.0000  0.2592  0.0000 [18 per cell]
Pd  0.0742  0.5371  0.1172 [18 per cell]

Summary:
- N(E_F) (states/eV/cell) = 48.912
- size of the total moment (Bohr magnetons per cell) = 0.00
- calculated density (Mg/m³) = 9.64


Of them, entry two has the lowest stability.


Entry one
This record from Alexandria via LeMat-Bulk describes ScCu2Pd4 after structural relaxation. The functional is PBE-GGA.

Cell lengths 6.2189, 6.2189, 5.8519 Å; angles 90.00, 90.00, 90.00 degrees
Space group I4/mmm (No. 139)
One atom of each set of equivalent atoms:
Sc  0.0000  0.0000  0.0000 [2 per cell]
Cu  0.0000  0.5000  0.0000 [4 per cell]
Pd  0.2500  0.2500  0.2500 [8 per cell]

Summary:
- N(E_F) (states/eV/cell) = 6.988
- size of the total moment (Bohr magnetons per cell) = 0.00
- calculated density (Mg/m³) = 8.77


Entry two
This record from Alexandria via LeMat-Bulk describes ScCu2Pd4 after structural relaxation. The functional is PBE-GGA.

Cell lengths 4.7611, 4.7611, 12.2778 Å; angles 90.00, 90.00, 90.00 degrees
Space group I4/mmm (No. 139)
One atom of each set of equivalent atoms:
Sc  0.0000  0.0000  0.0000 [2 per cell]
Cu  0.0000  0.0000  0.4012 [4 per cell]
Pd  0.0000  0.0000  0.1982 [4 per cell]
Pd  0.0000  0.5000  0.0000 [4 per cell]

Summary:
- N(E_F) (states/eV/cell) = 6.228
- size of the total moment (Bohr magnetons per cell) = 0.00
- calculated density (Mg/m³) = 7.13


Of them, entry two has the lowest stability.